16
Lattice="6.523 0.000 0.000 0.000 6.234 0.000 0.000 0.000 6.692" Properties=species:S:1:pos:R:3 comment="PBE-GGA TmSi2Tc, relaxed" dos_at_fermi_per_ev_atom=0.3185 dft_energy_ev_per_atom=-7.095 e_form_raw_ev_per_atom=-0.6744 m_tot_mub_per_fu=0.00 pbc="T T T"
Tm 0.089 1.559 1.133
Tm 3.172 4.676 4.480
Tm 3.351 1.559 2.213
Tm 6.434 4.676 5.559
Si 1.135 0.392 3.663
Si 1.135 2.725 3.663
Si 2.127 3.509 0.317
Si 2.127 5.842 0.317
Si 4.396 0.392 6.375
Si 4.396 2.725 6.375
Si 5.389 3.509 3.029
Si 5.389 5.842 3.029
Tc 0.985 4.676 2.219
Tc 2.277 1.559 5.565
Tc 4.247 4.676 1.128
Tc 5.538 1.559 4.474

---

8
Lattice="4.977 -2.367 0.000 4.977 2.367 0.000 -4.272 0.000 7.994" Properties=species:S:1:pos:R:3 comment="PBE-GGA Tm2SiTc, relaxed" dos_at_fermi_per_ev_atom=0.4690 dft_energy_ev_per_atom=-6.433 e_form_raw_ev_per_atom=-0.2496 m_tot_mub_per_fu=0.00 pbc="T T T"
Tm 1.408 0.165 0.743
Tm -0.728 -0.165 4.740
Tm 6.409 0.165 3.254
Tm 4.273 -0.165 7.251
Si 1.773 0.764 5.996
Si 3.909 -0.764 1.999
Tc 3.909 1.604 1.999
Tc 1.773 -1.604 5.996

---

21
Lattice="10.815 0.000 0.000 -5.407 9.366 0.000 0.000 0.000 3.084" Properties=species:S:1:pos:R:3 comment="PBE-GGA Tm2Si7Tc12, relaxed" dos_at_fermi_per_ev_atom=1.0962 dft_energy_ev_per_atom=-8.561 e_form_raw_ev_per_atom=-0.4039 m_tot_mub_per_fu=0.00 pbc="T T T"
Tm 0.000 6.244 0.752
Tm 5.407 3.122 2.332
Si 0.000 0.000 1.542
Si -0.974 3.991 2.291
Si -1.464 8.214 2.291
Si 2.969 2.839 0.793
Si 2.438 6.527 2.291
Si 6.872 1.152 0.793
Si 6.381 5.375 0.793
Tc -2.613 5.907 2.319
Tc -3.434 8.110 0.742
Tc 0.101 2.337 0.742
Tc 2.075 1.081 2.341
Tc 1.599 4.149 2.319
Tc 4.393 0.690 0.765
Tc 1.015 8.676 2.319
Tc 3.808 5.217 0.765
Tc 3.333 8.285 0.742
Tc 5.306 7.029 2.341
Tc 8.841 1.256 2.341
Tc 8.021 3.459 0.765

---

7
Lattice="5.339 -2.055 0.000 5.339 2.055 0.000 -3.179 0.000 5.494" Properties=species:S:1:pos:R:3 comment="PBE-GGA Tm2Si3Tc2, relaxed" dos_at_fermi_per_ev_atom=0.6722 dft_energy_ev_per_atom=-7.129 e_form_raw_ev_per_atom=-0.5652 m_tot_mub_per_fu=0.00 pbc="T T T"
Tm 0.660 0.000 1.577
Tm 6.841 0.000 3.916
Si 4.141 0.000 0.322
Si 3.750 0.000 2.747
Si 3.360 0.000 5.172
Tc -0.924 0.000 4.307
Tc 8.424 0.000 1.187

---

What did the second record say?
8
Lattice="4.977 -2.367 0.000 4.977 2.367 0.000 -4.272 0.000 7.994" Properties=species:S:1:pos:R:3 comment="PBE-GGA Tm2SiTc, relaxed" dos_at_fermi_per_ev_atom=0.4690 dft_energy_ev_per_atom=-6.433 e_form_raw_ev_per_atom=-0.2496 m_tot_mub_per_fu=0.00 pbc="T T T"
Tm 1.408 0.165 0.743
Tm -0.728 -0.165 4.740
Tm 6.409 0.165 3.254
Tm 4.273 -0.165 7.251
Si 1.773 0.764 5.996
Si 3.909 -0.764 1.999
Tc 3.909 1.604 1.999
Tc 1.773 -1.604 5.996